# Na3Nb5O12 PBE optimized geometry
data_Na3Nb5O12
_symmetry_space_group_name_H-M 'P 1'
_symmetry_Int_Tables_number 1
_symmetry_space_group_name_Hall 'P 1'
_cell_length_a 11.512
_cell_length_b 11.512
_cell_length_c 11.512
_cell_angle_alpha 109.47
_cell_angle_beta 109.47
_cell_angle_gamma 109.47
loop_
_atom_site_label
_atom_site_type_symbol
_atom_site_fract_x
_atom_site_fract_y
_atom_site_fract_z
O1 O 0.310 0.422 0.818
Nb1 Nb 0.375 0.250 0.125
O2 O 0.104 0.922 0.113
O3 O 0.922 0.104 0.613
O4 O 0.508 0.318 0.896
O5 O 0.422 0.310 0.318
Nb2 Nb 0.500 0.000 0.000
Na1 Na 0.125 0.875 0.750
Nb3 Nb 0.375 0.125 0.750
O6 O 0.190 0.682 0.078
O7 O 0.078 0.182 0.190
O8 O 0.992 0.604 0.182
O9 O 0.690 0.578 0.182
O10 O 0.310 0.887 0.992
O11 O 0.887 0.578 0.896
O12 O 0.682 0.492 0.604
O13 O 0.190 0.508 0.613
O14 O 0.613 0.008 0.190
O15 O 0.604 0.613 0.422
O16 O 0.604 0.992 0.682
Nb4 Nb 0.625 0.875 0.250
Nb5 Nb 0.500 0.500 0.500
Na2 Na 0.375 0.625 0.250
Nb6 Nb 0.250 0.875 0.125
O17 O 0.690 0.113 0.008
O18 O 0.113 0.422 0.104
O19 O 0.682 0.190 0.578
O20 O 0.113 0.690 0.508
Na3 Na 0.625 0.250 0.375
Na4 Na 0.875 0.750 0.125
O21 O 0.318 0.810 0.422
O22 O 0.318 0.508 0.396
O23 O 0.182 0.104 0.992
Nb7 Nb 0.000 0.500 0.500
O24 O 0.008 0.613 0.690
O25 O 0.078 0.896 0.387
Nb8 Nb 0.000 0.000 0.000
O26 O 0.578 0.690 0.682
Na5 Na 0.125 0.250 0.875
Na6 Na 0.750 0.375 0.125
Na7 Na 0.625 0.375 0.750
O27 O 0.887 0.310 0.492
O28 O 0.387 0.992 0.810
O29 O 0.396 0.387 0.578
O30 O 0.922 0.818 0.810
Na8 Na 0.875 0.125 0.250
O31 O 0.578 0.887 0.396
O32 O 0.896 0.078 0.887
O33 O 0.810 0.492 0.387
Nb9 Nb 0.125 0.375 0.250
Nb10 Nb 0.000 0.500 0.000
Nb11 Nb 0.750 0.125 0.875
O34 O 0.818 0.896 0.008
Na9 Na 0.750 0.875 0.625
Nb12 Nb 0.625 0.750 0.875
O35 O 0.492 0.810 0.887
Nb13 Nb 0.750 0.625 0.375
Na10 Na 0.250 0.125 0.375
Na11 Na 0.250 0.625 0.875
O36 O 0.508 0.190 0.113
Na12 Na 0.375 0.750 0.625
O37 O 0.818 0.922 0.310
Nb14 Nb 0.500 0.000 0.500
O38 O 0.104 0.182 0.492
Nb15 Nb 0.000 0.000 0.500
Nb16 Nb 0.250 0.375 0.625
Nb17 Nb 0.875 0.250 0.625
O39 O 0.396 0.008 0.318
Nb18 Nb 0.125 0.750 0.375
O40 O 0.810 0.318 0.922
Nb19 Nb 0.875 0.625 0.750
O41 O 0.008 0.396 0.818
O42 O 0.387 0.396 0.078
O43 O 0.896 0.818 0.508
O44 O 0.422 0.113 0.604
O45 O 0.182 0.078 0.690
O46 O 0.613 0.604 0.922
O47 O 0.492 0.682 0.104
O48 O 0.992 0.387 0.310
Nb20 Nb 0.500 0.500 0.000
# Formation energy (no corrections) = -2.265 eV/atom
# SG = Ia-3d
# Crystal system = cubic

# NaNb3O6 PBE optimized geometry
data_NaNb3O6
_symmetry_space_group_name_H-M 'P 1'
_symmetry_Int_Tables_number 1
_symmetry_space_group_name_Hall 'P 1'
_cell_length_a 5.440
_cell_length_b 6.475
_cell_length_c 6.475
_cell_angle_alpha 104.43
_cell_angle_beta 90.00
_cell_angle_gamma 90.00
loop_
_atom_site_label
_atom_site_type_symbol
_atom_site_fract_x
_atom_site_fract_y
_atom_site_fract_z
O1 O 0.245 0.467 0.905
Nb1 Nb 0.973 0.053 0.288
Na1 Na 0.480 0.814 0.186
Nb2 Nb 0.473 0.947 0.712
O2 O 0.227 0.996 0.004
O3 O 0.674 0.646 0.710
O4 O 0.745 0.905 0.467
O5 O 0.245 0.095 0.533
Na2 Na 0.980 0.186 0.814
O6 O 0.674 0.290 0.354
O7 O 0.174 0.710 0.646
O8 O 0.609 0.252 0.748
O9 O 0.727 0.004 0.996
O10 O 0.745 0.533 0.095
Nb3 Nb 0.385 0.417 0.583
O11 O 0.109 0.748 0.252
Nb4 Nb 0.885 0.583 0.417
Nb5 Nb 0.973 0.712 0.947
O12 O 0.174 0.354 0.290
Nb6 Nb 0.473 0.288 0.053
# Formation energy (no corrections) = -2.156 eV/atom
# SG = Cmc2_1
# Crystal system = orthorhombic

# Na2Nb2O5 PBE optimized geometry
data_Na2Nb2O5
_symmetry_space_group_name_H-M 'P 1'
_symmetry_Int_Tables_number 1
_symmetry_space_group_name_Hall 'P 1'
_cell_length_a 4.064
_cell_length_b 4.290
_cell_length_c 6.296
_cell_angle_alpha 81.84
_cell_angle_beta 89.98
_cell_angle_gamma 90.00
loop_
_atom_site_label
_atom_site_type_symbol
_atom_site_fract_x
_atom_site_fract_y
_atom_site_fract_z
O1 O 0.000 0.711 0.657
O2 O 0.500 0.229 0.699
Nb1 Nb 0.000 0.788 0.313
Na1 Na 0.500 0.280 0.163
Nb2 Nb 0.000 0.212 0.687
O3 O 0.000 0.289 0.343
O4 O 0.000 0.000 0.000
Na2 Na 0.500 0.720 0.837
O5 O 0.500 0.771 0.301
# Formation energy (no corrections) = -2.104 eV/atom
# SG = P2/m
# Crystal system = monoclinic